Compound: YPuTlRh
Source: Alexandria
Functional: PBE
Structure: relaxed

Calculated values
The distance to the lowest polymorph of the same formula is 0.0 kJ per mole of atoms. As for the total moment: 5.38 μB/cell. Its density of states at the Fermi level is 10.198 states/eV per cell. The space-group type is P4mm. The raw total energy is -32.14 eV/cell.

```
data_YPuTlRh
_cell_length_a 3.405
_cell_length_b 3.405
_cell_length_c 8.314
_cell_angle_alpha 90.00
_cell_angle_beta 90.00
_cell_angle_gamma 90.00
_space_group_name_H-M_alt 'P 1'
_space_group_IT_number 1
_space_group_name_Hall 'P 1'
loop_
_atom_site_label
_atom_site_fract_x
_atom_site_fract_y
_atom_site_fract_z
Y1 0.500 0.500 0.777
Pu1 0.500 0.500 0.363
Tl1 0.000 0.000 0.069
Rh1 0.000 0.000 0.576
```